[1]
{
  "formula": "Cd3TcSb",
  "functional": "PBE",
  "state": "relaxed",
  "lattice_angstrom": [[5.243, 0.000, 0.000], [0.000, 5.243, 0.000], [0.000, 0.000, 5.243]],
  "species": ["Cd", "Cd", "Cd", "Tc", "Sb"],
  "fractional_positions": [[0.000, 0.000, 0.500], [0.000, 0.500, 0.000], [0.500, 0.000, 0.000], [0.000, 0.000, 0.000], [0.500, 0.500, 0.500]],
  "space_group": "Pm-3m (221)",
  "m_tot_mub_per_cell": 2.29,
  "polymorph_energy_kj_per_mol_atoms": 0.0,
  "energy_ev_per_atom": -2.54,
  "n_ef_per_ev_atom": 0.457
}

---

[2]
{
  "formula": "HoGeRh",
  "functional": "PBE",
  "state": "relaxed",
  "lattice_angstrom": [[6.907, 0.000, 0.000], [0.000, 4.317, 0.000], [0.000, 0.000, 7.542]],
  "species": ["Ho", "Ho", "Ho", "Ho", "Ge", "Ge", "Ge", "Ge", "Rh", "Rh", "Rh", "Rh"],
  "fractional_positions": [[0.002, 0.250, 0.195], [0.498, 0.750, 0.695], [0.502, 0.250, 0.305], [0.998, 0.750, 0.805], [0.212, 0.750, 0.395], [0.288, 0.250, 0.895], [0.712, 0.750, 0.105], [0.788, 0.250, 0.605], [0.157, 0.250, 0.568], [0.343, 0.750, 0.068], [0.657, 0.250, 0.932], [0.843, 0.750, 0.432]],
  "space_group": "Pnma (62)",
  "m_tot_mub_per_cell": 0.00,
  "ef_ev_per_atom": -0.992,
  "energy_ev_per_atom": -6.51,
  "n_ef_per_ev_atom": 0.543
}

---

[3]
{
  "formula": "BaLa3Ir",
  "functional": "PBE",
  "state": "relaxed",
  "lattice_angstrom": [[3.189, -11.613, 0.000], [3.189, 11.613, 0.000], [0.000, 0.000, 5.615]],
  "species": ["Ba", "Ba", "La", "La", "La", "La", "La", "La", "Ir", "Ir"],
  "fractional_positions": [[0.219, 0.781, 0.750], [0.781, 0.219, 0.250], [0.000, 0.000, 0.000], [0.000, 0.000, 0.500], [0.152, 0.371, 0.750], [0.371, 0.152, 0.250], [0.629, 0.848, 0.750], [0.848, 0.629, 0.250], [0.488, 0.512, 0.750], [0.512, 0.488, 0.250]],
  "space_group": "Cmcm (63)",
  "m_tot_mub_per_cell": 0.00,
  "ef_ev_per_atom": 0.378,
  "polymorph_energy_kj_per_mol_atoms": 67.2,
  "energy_ev_per_atom": -4.74,
  "n_ef_per_ev_atom": 1.471
}

---

[4]
{
  "formula": "YU2SiC4",
  "functional": "PBE",
  "state": "relaxed",
  "lattice_angstrom": [[1.760, -5.663, 0.000], [1.760, 5.663, 0.000], [0.000, 0.000, 11.580]],
  "species": ["Y", "Y", "U", "U", "U", "U", "Si", "Si", "C", "C", "C", "C", "C", "C", "C", "C"],
  "fractional_positions": [[0.106, 0.894, 0.750], [0.894, 0.106, 0.250], [0.372, 0.628, 0.551], [0.372, 0.628, 0.949], [0.628, 0.372, 0.051], [0.628, 0.372, 0.449], [0.161, 0.839, 0.250], [0.839, 0.161, 0.750], [0.000, 0.000, 0.000], [0.000, 0.000, 0.500], [0.263, 0.737, 0.123], [0.263, 0.737, 0.377], [0.428, 0.572, 0.750], [0.572, 0.428, 0.250], [0.737, 0.263, 0.623], [0.737, 0.263, 0.877]],
  "space_group": "Cmcm (63)",
  "m_tot_mub_per_cell": 4.59,
  "energy_ev_per_atom": -9.05,
  "n_ef_per_ev_atom": 0.742
}

---

[5]
{
  "formula": "Na2H3Cl",
  "functional": "PBE",
  "state": "relaxed",
  "lattice_angstrom": [[4.382, -3.665, 0.000], [4.382, 3.665, 0.000], [-3.243, 0.000, 5.523]],
  "species": ["Na", "Na", "Na", "Na", "H", "H", "H", "H", "H", "H", "Cl", "Cl"],
  "fractional_positions": [[0.112, 0.355, 0.251], [0.355, 0.112, 0.751], [0.645, 0.888, 0.249], [0.888, 0.645, 0.749], [0.249, 0.476, 0.667], [0.388, 0.612, 0.750], [0.476, 0.249, 0.167], [0.524, 0.751, 0.833], [0.612, 0.388, 0.250], [0.751, 0.524, 0.333], [0.155, 0.845, 0.250], [0.845, 0.155, 0.750]],
  "space_group": "C2/c (15)",
  "m_tot_mub_per_cell": 0.00,
  "energy_ev_per_atom": -2.99,
  "n_ef_per_ev_atom": 0.000
}

---

[6]
{
  "formula": "Ce3Ge",
  "functional": "PBE",
  "state": "relaxed",
  "lattice_angstrom": [[-1.675, 5.318, 2.747], [1.675, -5.318, 2.747], [1.675, 5.318, -2.747]],
  "species": ["Ce", "Ce", "Ce", "Ge"],
  "fractional_positions": [[0.000, 0.000, 0.000], [0.473, 0.695, 0.778], [0.916, 0.695, 0.222], [0.476, 0.976, 0.500]],
  "space_group": "Imm2 (44)",
  "m_tot_mub_per_cell": 0.00,
  "ef_ev_per_atom": -0.348,
  "polymorph_energy_kj_per_mol_atoms": 5.9,
  "energy_ev_per_atom": -5.95,
  "n_ef_per_ev_atom": 2.319
}

---

[7]
{
  "formula": "VAgS2",
  "functional": "PBE",
  "state": "relaxed",
  "lattice_angstrom": [[6.850, 0.000, 0.000], [0.000, 7.751, 0.000], [0.000, 0.000, 6.558]],
  "species": ["V", "V", "V", "V", "Ag", "Ag", "Ag", "Ag", "S", "S", "S", "S", "S", "S", "S", "S"],
  "fractional_positions": [[0.065, 0.125, 0.000], [0.435, 0.625, 0.500], [0.565, 0.375, 0.000], [0.935, 0.875, 0.500], [0.103, 0.606, 0.991], [0.397, 0.106, 0.491], [0.603, 0.894, 0.991], [0.897, 0.394, 0.491], [0.057, 0.119, 0.649], [0.115, 0.642, 0.604], [0.385, 0.142, 0.104], [0.443, 0.619, 0.149], [0.557, 0.381, 0.649], [0.615, 0.858, 0.604], [0.885, 0.358, 0.104], [0.943, 0.881, 0.149]],
  "space_group": "Pna2_1 (33)",
  "m_tot_mub_per_cell": 8.00,
  "energy_ev_per_atom": -5.53,
  "n_ef_per_ev_atom": 0.336
}

---

[8]
{
  "formula": "Pr8Zn2Au",
  "functional": "PBE",
  "state": "relaxed",
  "lattice_angstrom": [[-2.579, 4.337, 7.384], [2.579, -4.337, 7.384], [2.579, 4.337, -7.384]],
  "species": ["Pr", "Pr", "Pr", "Pr", "Pr", "Pr", "Pr", "Pr", "Zn", "Zn", "Au"],
  "fractional_positions": [[0.119, 0.339, 0.780], [0.131, 0.131, 0.000], [0.326, 0.000, 0.326], [0.442, 0.661, 0.780], [0.558, 0.339, 0.220], [0.674, 0.000, 0.674], [0.869, 0.869, 0.000], [0.881, 0.661, 0.220], [0.304, 0.804, 0.500], [0.696, 0.196, 0.500], [0.000, 0.500, 0.500]],
  "space_group": "Immm (71)",
  "m_tot_mub_per_cell": 0.00,
  "ef_ev_per_atom": -0.134,
  "polymorph_energy_kj_per_mol_atoms": 7.5,
  "energy_ev_per_atom": -4.14,
  "n_ef_per_ev_atom": 1.181
}